1.
Material: MgMnMoOs
Method: DFT, PBE-GGA
State: relaxed

Properties
Total magnetic moment (Bohr magnetons per cell): 0.96
Total DFT energy (no corrections) (eV per atom): -8.05
Formation energy (meV/atom): 153
Crystal system: cubic

Cell lengths 4.3359, 4.3359, 4.3359 Å; angles 60.00, 60.00, 60.00 degrees
Closest atoms and distances in Å follow each position.
Sites, in units of the cell vectors:
Mn1 0.7500 0.7500 0.7500  4 Mg 2.66, 4 Mo 2.66
Mo1 0.5000 0.5000 0.5000  4 Mn 2.66, 4 Os 2.66
Os1 0.2500 0.2500 0.2500  4 Mo 2.66, 4 Mg 2.66
Mg1 0.0000 0.0000 0.0000  4 Os 2.66, 4 Mn 2.66


2.
Material: MgMn2MoP
Method: DFT, PBE-GGA
State: relaxed

Properties
Total magnetic moment (Bohr magnetons per cell): 0.00
Total DFT energy (no corrections) (eV per atom): -6.45
Formation energy (meV/atom): 782
Crystal system: tetragonal

Cell lengths 4.1163, 4.5279, 4.1163 Å; angles 90.00, 90.00, 90.00 degrees
Closest atoms and distances in Å follow each position.
Sites, in units of the cell vectors:
Mg1 0.0000 0.5000 0.0000  2 P 2.26
P1 0.0000 0.0000 0.0000  4 Mn 2.06, 2 Mg 2.26
Mo1 0.5000 0.5000 0.5000  4 Mg 2.91, 8 Mn 3.06
Mn1 0.0000 0.0000 0.5000  2 P 2.06
Mn2 0.5000 0.0000 0.0000  2 P 2.06


3.
Material: MgMn2MoPt
Method: DFT, PBE-GGA
State: relaxed

Properties
Total magnetic moment (Bohr magnetons per cell): 12.49
Total DFT energy (no corrections) (eV per atom): -6.28
Formation energy (meV/atom): 1082
Crystal system: tetragonal

Cell lengths 4.8403, 4.8466, 4.8403 Å; angles 90.00, 90.00, 90.00 degrees
Closest atoms and distances in Å follow each position.
Sites, in units of the cell vectors:
Mg1 0.0000 0.5000 0.0000  2 Pt 2.42
Mn1 0.5000 0.0000 0.0000  2 Pt 2.42
Mo1 0.5000 0.5000 0.5000  4 Mg 3.42, 8 Mn 3.42
Mn2 0.0000 0.0000 0.5000  2 Pt 2.42
Pt1 0.0000 0.0000 0.0000  4 Mn 2.42, 2 Mg 2.42